This record from the Alexandria database describes a geometry-optimized CrSb2Br structure. The functional is PBE-GGA.

extended XYZ file:
```
4
Lattice="-0.725 4.978 -2.099 -3.158 -2.118 -3.905 -2.618 0.416 1.891" Properties=species:S:1:pos:R:3 pbc="T T T"
Br -1.671 2.697 -0.104
Cr -2.888 -0.851 -1.007
Sb 0.000 0.000 0.000
Sb -1.941 1.430 -3.002
```

As for the magnetic moment: 4.084 μB per formula unit. As for the total energy: -4.474 eV per atom. As for the space group: No. 65. The energy above the most stable polymorph in this dataset comes out at 45.53 kJ per mole of atoms.